TlAs5S8 | PBEsol | relaxed Values from VASP.

Computed properties:
- symmetry = P2_1/c, No. 14
- formation energy (no corrections) (eV/atom) = -0.163

Cell and atoms, written as Quantum ESPRESSO input:
```
&SYSTEM
  ibrav = 0, nat = 56, ntyp = 3
/
ATOMIC_SPECIES
Tl 204.38 Tl.upf
As 74.92 As.upf
S 32.06 S.upf
CELL_PARAMETERS angstrom
15.4740 0.0000 0.0000
0.0000 7.8139 0.0000
-0.3686 0.0000 10.6588
ATOMIC_POSITIONS crystal
Tl 0.2226 0.1500 0.1622
Tl 0.2226 0.3500 0.6622
Tl 0.7774 0.6500 0.3378
Tl 0.7774 0.8500 0.8378
As 0.0473 0.1545 0.3962
As 0.0473 0.3455 0.8962
As 0.0726 0.6169 0.3839
As 0.0726 0.8831 0.8839
As 0.2315 0.6238 0.0619
As 0.2315 0.8762 0.5619
As 0.3821 0.7304 0.3615
As 0.3821 0.7696 0.8615
As 0.4329 0.0378 0.6168
As 0.4329 0.4622 0.1168
As 0.5671 0.5378 0.8832
As 0.5671 0.9622 0.3832
As 0.6179 0.2304 0.1385
As 0.6179 0.2696 0.6385
As 0.7685 0.1238 0.4381
As 0.7685 0.3762 0.9381
As 0.9274 0.1169 0.1161
As 0.9274 0.3831 0.6161
As 0.9527 0.6545 0.1038
As 0.9527 0.8455 0.6038
S 0.0653 0.6417 0.5972
S 0.0653 0.8583 0.0972
S 0.0712 0.1061 0.6002
S 0.0712 0.3939 0.1002
S 0.1598 0.1162 0.8937
S 0.1598 0.3838 0.3937
S 0.1811 0.6706 0.8613
S 0.1811 0.8294 0.3613
S 0.3165 0.0958 0.4844
S 0.3165 0.4042 0.9844
S 0.3437 0.6734 0.5644
S 0.3437 0.8266 0.0644
S 0.3561 0.0422 0.7955
S 0.3561 0.4578 0.2955
S 0.4720 0.1811 0.1185
S 0.4720 0.3189 0.6185
S 0.5280 0.6811 0.3815
S 0.5280 0.8189 0.8815
S 0.6439 0.5422 0.7045
S 0.6439 0.9578 0.2045
S 0.6563 0.1734 0.9356
S 0.6563 0.3266 0.4356
S 0.6835 0.5958 0.0156
S 0.6835 0.9042 0.5156
S 0.8189 0.1706 0.6387
S 0.8189 0.3294 0.1387
S 0.8402 0.6162 0.6063
S 0.8402 0.8838 0.1063
S 0.9288 0.6061 0.8998
S 0.9288 0.8939 0.3998
S 0.9347 0.1417 0.9028
S 0.9347 0.3583 0.4028
```


Li2LaCdIr | PBEsol | relaxed Values from VASP.

Computed properties:
- symmetry = P4/mmm, No. 123
- DFT formation energy (meV per atom) = 970

Cell and atoms, written as Quantum ESPRESSO input:
```
&SYSTEM
  ibrav = 0, nat = 5, ntyp = 4
/
ATOMIC_SPECIES
Li 6.94 Li.upf
La 138.91 La.upf
Cd 112.41 Cd.upf
Ir 192.22 Ir.upf
CELL_PARAMETERS angstrom
5.3691 0.0000 0.0000
0.0000 5.3691 0.0000
0.0000 0.0000 4.8566
ATOMIC_POSITIONS crystal
Li 0.0000 0.5000 0.0000
Li 0.5000 0.0000 0.0000
La 0.0000 0.0000 0.0000
Cd 0.5000 0.5000 0.5000
Ir 0.0000 0.0000 0.5000
```


La2AlCl | PBEsol | relaxed Values from VASP.

Computed properties:
- distance to the lowest polymorph of the same formula (meV per atom) = 3.7
- symmetry = Pmmm, No. 47
- formation energy (no corrections) (eV/atom) = -0.931

Cell and atoms, written as Quantum ESPRESSO input:
```
&SYSTEM
  ibrav = 0, nat = 4, ntyp = 3
/
ATOMIC_SPECIES
La 138.91 La.upf
Al 26.98 Al.upf
Cl 35.45 Cl.upf
CELL_PARAMETERS angstrom
3.7806 0.0000 0.0000
0.0000 4.7637 0.0000
0.0000 0.0000 6.0403
ATOMIC_POSITIONS crystal
La 0.0000 0.0000 0.0000
La 0.5000 0.5000 0.5000
Al 0.0000 0.0000 0.5000
Cl 0.5000 0.5000 0.0000
```